First-principles (PBE-GGA) data for Pr7InHg4 after structural relaxation, as listed in the Alexandria database.

The symmetry is No. 12. For the volume, the calculation gives 374 Å³/cell. As for the formation energy: -256.4 meV/atom.

Cell lengths 8.1200, 8.1200, 9.5695 Å; angles 118.28, 118.28, 43.55 degrees
Element x y z (fractional)
Pr 0.0000 0.0000 0.0000
Pr 0.2282 0.2282 0.6850
Pr 0.3179 0.3179 0.1150
Pr 0.4323 0.4323 0.6032
Pr 0.5677 0.5677 0.3968
Pr 0.6821 0.6821 0.8850
Pr 0.7718 0.7718 0.3150
In 0.5000 0.5000 0.0000
Hg 0.0291 0.0291 0.6935
Hg 0.1968 0.1968 0.3352
Hg 0.8032 0.8032 0.6648
Hg 0.9709 0.9709 0.3065